(1)
Material: AuCl2F
Method: DFT, PBE
State: relaxed

As for the energy relative to the lowest polymorph listed for this composition: 111 meV per atom. For the raw formation energy, the calculation gives -1.14 eV per formula unit. Its density of states at the Fermi level is 2.365 states/eV/f.u.

It has space group I-42d (No. 122), with a = 9.180 Å, b = 9.180 Å, c = 4.295 Å, α = 90.00°, β = 90.00° and γ = 90.00°. The inequivalent atoms are Au at (0.000, 0.000, 0.000), Cl at (0.092, 0.250, 0.125) and F at (0.000, 0.000, 0.500).

---

(2)
Material: SrMg2SnS
Method: DFT, PBE
State: relaxed

For the raw formation energy, the calculation gives 2.41 eV per formula unit. Its density of states at the Fermi level is 2.419 states/eV/f.u.

It has space group P4/mmm (No. 123), with a = 6.215 Å, b = 6.215 Å, c = 5.255 Å, α = 90.00°, β = 90.00° and γ = 90.00°. The inequivalent atoms are Sr at (0.000, 0.000, 0.000), Mg at (0.000, 0.500, 0.000), Sn at (0.500, 0.500, 0.500) and S at (0.000, 0.000, 0.500).

---

(3)
Material: TlPb
Method: DFT, PBE
State: relaxed

For the formation energy from the elements, the calculation gives -0.02 eV/atom. Its density of states at the Fermi level is 0.579 states/eV/f.u.

It has space group P4/nmm (No. 129, origin choice 2), with a = 3.522 Å, b = 3.522 Å, c = 10.094 Å, α = 90.00°, β = 90.00° and γ = 90.00°. The inequivalent atoms are Tl at (0.250, 0.250, 0.128) and Pb at (0.250, 0.250, 0.621).

---

(4)
Material: TiVPt2S
Method: DFT, PBE
State: relaxed

For the raw formation energy, the calculation gives 4.32 eV per formula unit. Its density of states at the Fermi level is 7.719 states/eV/f.u.

It has space group P4/mmm (No. 123), with a = 4.622 Å, b = 4.622 Å, c = 4.563 Å, α = 90.00°, β = 90.00° and γ = 90.00°. The inequivalent atoms are Ti at (0.000, 0.000, 0.000), V at (0.000, 0.000, 0.500), Pt at (0.000, 0.500, 0.500) and S at (0.500, 0.500, 0.000).

---

Number 1: total magnetization 0.0 μB/cell. Number 2: total magnetization 0.0 μB/cell. Number 3: total magnetization 0.0 μB/cell. Number 4: total magnetization 0.0 μB/cell.